(1)
Compound: HgRhSe
Source: Alexandria
Functional: PBE
Structure: optimized geometry

Properties
Raw formation energy, eV per atom: -0.1165
Relative energy among the computed polymorphs, meV per atom: 19
Space-group type: P1, No. 1
Crystal system: triclinic
Raw total energy, eV per formula unit: -11.5

a b c (Å): 6.4282 6.8912 6.4501
angles (deg): 68.41 79.21 93.52
Element x y z (fractional)
Rh  0.0642  0.6434  0.0176
Rh  0.8714  0.0233  0.7811
Rh  0.5295  0.9660  0.1750
Rh  0.4917  0.4373  0.9870
Hg  0.3984  0.8022  0.6389
Hg  0.1740  0.1354  0.3650
Hg  0.7526  0.2829  0.2942
Hg  0.1265  0.3540  0.7805
Se  0.5561  0.1963  0.7850
Se  0.8802  0.8595  0.1862
Se  0.8199  0.6800  0.7537
Se  0.3429  0.6197  0.2358

(2)
Compound: HgRhSe4
Source: Alexandria
Functional: PBE
Structure: optimized geometry

Properties
Raw formation energy, eV per atom: 0.7696
Space-group type: F-43m, No. 216
Crystal system: cubic
Raw total energy, eV per formula unit: -17.0

a b c (Å): 5.6642 5.6642 5.6642
angles (deg): 60.00 60.00 60.00
Each line ends with the local moment (μB).
Element x y z (fractional)
Se  0.3743  0.3743  0.3743  0.01
Se  0.3743  0.3743  0.8772  0.01
Se  0.8772  0.3743  0.3743  0.01
Se  0.3743  0.8772  0.3743  0.01
Rh  0.0000  0.0000  0.0000  0.34
Hg  0.7500  0.7500  0.7500  0.00

(3)
Compound: Hg2RhSe2
Source: Alexandria
Functional: PBE
Structure: optimized geometry

Properties
Raw formation energy, eV per atom: 0.1283
Space-group type: P4/mbm, No. 127
Crystal system: tetragonal
Raw total energy, eV per formula unit: -14.3

a b c (Å): 6.8309 6.8309 4.8061
angles (deg): 90.00 90.00 90.00
Element x y z (fractional)
Se  0.1850  0.3150  0.0000
Se  0.8150  0.6850  0.0000
Se  0.3150  0.8150  0.0000
Se  0.6850  0.1850  0.0000
Rh  0.5000  0.5000  0.0000
Rh  0.0000  0.0000  0.0000
Hg  0.8450  0.3450  0.5000
Hg  0.6550  0.8450  0.5000
Hg  0.3450  0.1550  0.5000
Hg  0.1550  0.6550  0.5000

(4)
Compound: HgRh2Se2
Source: Alexandria
Functional: PBE
Structure: optimized geometry

Properties
Raw formation energy, eV per atom: -0.1969
Space-group type: I4/mmm, No. 139
Crystal system: tetragonal
Raw total energy, eV per formula unit: -23.0

a b c (Å): 3.9555 3.9555 8.3012
angles (deg): 76.22 76.22 90.00
Element x y z (fractional)
Rh  0.7500  0.2500  0.5000
Rh  0.2500  0.7500  0.5000
Se  0.3443  0.3443  0.3114
Se  0.6557  0.6557  0.6886
Hg  0.0000  0.0000  0.0000